8
Lattice="10.264 0.000 0.000 0.000 3.623 0.000 -1.187 0.000 6.300" Properties=species:S:1:pos:R:3 comment="KTc2Pb (GGA-PBE, optimized geometry)" dos_ef_per_ev_fu=4.7 formation_energy_ev_per_fu=3.162 energy_ev_per_cell=-44.75 pbc="T T T"
K 0.000 0.000 0.000
K 5.132 1.812 0.000
Tc 1.756 0.000 3.819
Tc 2.189 1.812 2.481
Tc 6.887 1.812 3.819
Tc 7.321 0.000 2.481
Pb -0.594 1.812 3.150
Pb 4.538 0.000 3.150

5
Lattice="4.772 0.000 0.000 0.000 4.772 0.000 0.000 0.000 4.607" Properties=species:S:1:pos:R:3 comment="NaLaV2C (GGA-PBE, optimized geometry)" dos_ef_per_ev_fu=9.3 formation_energy_ev_per_fu=11.078 energy_ev_per_cell=-22.63 pbc="T T T"
Na 0.000 0.000 0.000
La 2.386 2.386 2.304
V 0.000 2.386 2.304
V 2.386 0.000 2.304
C 2.386 2.386 0.000

8
Lattice="3.061 0.000 0.000 0.000 4.893 0.000 0.000 0.000 9.870" Properties=species:S:1:pos:R:3 comment="CaRe2Br (GGA-PBE, optimized geometry)" e_above_lowest_polymorph_mev_per_atom=1224 dos_ef_per_ev_fu=4.3 e_form_raw_ev_per_atom=1.2778 energy_ev_per_cell=-46.92 pbc="T T T"
Ca 0.000 0.000 0.000
Ca 1.531 2.447 0.000
Re 0.000 2.447 2.565
Re 0.000 2.447 7.305
Re 1.531 0.000 2.565
Re 1.531 0.000 7.305
Br 0.000 0.000 4.935
Br 1.531 2.447 4.935

4
Lattice="4.604 0.000 0.000 0.000 4.604 0.000 0.000 0.000 3.620" Properties=species:S:1:pos:R:3 comment="LaFe2Hg (GGA-PBE, optimized geometry)" dos_ef_per_ev_fu=5.2 formation_energy_ev_per_fu=1.666 energy_ev_per_cell=-20.49 pbc="T T T"
La 0.000 0.000 0.000
Fe 0.000 2.302 1.810
Fe 2.302 0.000 1.810
Hg 2.302 2.302 0.000

11
Lattice="12.621 -1.715 0.000 12.621 1.715 0.000 -0.221 0.000 6.848" Properties=species:S:1:pos:R:3 comment="Tb2Tm5Ge4 (GGA-PBE, optimized geometry)" dos_ef_per_ev_fu=8.9 formation_energy_ev_per_fu=-3.812 energy_ev_per_cell=-53.90 pbc="T T T"
Tb 2.317 0.000 1.379
Tb 22.704 0.000 5.470
Tm 3.185 0.000 4.770
Tm 5.940 0.000 1.807
Tm 12.510 0.000 3.424
Tm 19.081 0.000 5.042
Tm 21.836 0.000 2.078
Ge 0.446 0.000 5.755
Ge 7.979 0.000 6.830
Ge 17.042 0.000 0.018
Ge 24.575 0.000 1.093

14
Lattice="4.678 0.000 0.000 0.000 4.678 0.000 0.000 0.000 16.136" Properties=species:S:1:pos:R:3 comment="La2Pa2Ge2C (GGA-PBE, optimized geometry)" dos_ef_per_ev_fu=9.0 formation_energy_ev_per_fu=-4.069 energy_ev_per_cell=-102.75 pbc="T T T"
La 0.000 0.000 2.781
La 0.000 0.000 13.356
La 2.339 2.339 5.288
La 2.339 2.339 10.849
Pa 0.000 2.339 0.000
Pa 0.000 2.339 8.068
Pa 2.339 0.000 0.000
Pa 2.339 0.000 8.068
Ge 0.000 0.000 5.993
Ge 0.000 0.000 10.144
Ge 2.339 2.339 2.076
Ge 2.339 2.339 14.061
C 0.000 0.000 0.000
C 2.339 2.339 8.068

68
Lattice="12.245 0.000 0.000 0.000 14.192 0.000 0.000 0.000 12.770" Properties=species:S:1:pos:R:3 comment="Cs4Os2Cl10O (GGA-PBE, optimized geometry)" e_form_raw_ev_per_atom=-1.2866 energy_ev_per_cell=-284.68 pbc="T T T"
Cs 0.276 2.067 2.873
Cs 0.276 5.029 9.258
Cs 2.714 9.043 7.749
Cs 2.714 12.245 1.364
Cs 3.408 1.947 7.749
Cs 3.408 5.149 1.364
Cs 5.847 9.163 2.873
Cs 5.847 12.124 9.258
Cs 6.399 2.067 3.512
Cs 6.399 5.029 9.898
Cs 8.837 9.043 11.407
Cs 8.837 12.245 5.022
Cs 9.531 1.947 11.407
Cs 9.531 5.149 5.022
Cs 11.969 9.163 3.512
Cs 11.969 12.124 9.898
Os 1.065 8.402 12.080
Os 1.065 12.886 5.695
Os 5.057 1.306 12.080
Os 5.057 5.790 5.695
Os 7.188 8.402 7.075
Os 7.188 12.886 0.690
Os 11.180 1.306 7.075
Os 11.180 5.790 0.690
Cl 0.146 1.369 9.151
Cl 0.146 5.727 2.766
Cl 0.321 3.082 6.234
Cl 0.321 4.014 12.620
Cl 2.420 8.558 1.286
Cl 2.423 10.121 11.173
Cl 2.423 11.167 4.788
Cl 2.420 12.730 7.671
Cl 2.621 0.236 4.740
Cl 2.621 6.860 11.125
Cl 3.502 7.332 4.740
Cl 3.502 13.956 11.125
Cl 3.703 1.462 1.286
Cl 3.699 3.025 11.173
Cl 3.699 4.071 4.788
Cl 3.703 5.634 7.671
Cl 5.802 10.178 6.234
Cl 5.802 11.110 12.620
Cl 5.976 8.465 9.151
Cl 5.976 12.823 2.766
Cl 6.269 1.369 10.004
Cl 6.269 5.727 3.619
Cl 6.443 3.082 0.151
Cl 6.443 4.014 6.536
Cl 8.542 8.558 5.100
Cl 8.546 10.121 7.982
Cl 8.546 11.167 1.597
Cl 8.542 12.730 11.485
Cl 8.743 0.236 1.645
Cl 8.743 6.860 8.030
Cl 9.625 7.332 1.645
Cl 9.625 13.956 8.030
Cl 9.825 1.462 5.100
Cl 9.822 3.025 7.982
Cl 9.822 4.071 1.597
Cl 9.825 5.634 11.485
Cl 11.924 10.178 0.151
Cl 11.924 11.110 6.536
Cl 12.099 8.465 10.004
Cl 12.099 12.823 3.619
O 0.000 0.000 6.385
O 0.000 7.096 0.000
O 6.123 0.000 0.000
O 6.123 7.096 6.385

16
Lattice="9.512 0.000 0.000 0.000 9.398 0.000 0.000 0.000 6.411" Properties=species:S:1:pos:R:3 comment="Tl3AsSe4 (GGA-PBE, optimized geometry)" e_above_lowest_polymorph_mev_per_atom=42 e_form_raw_ev_per_atom=-0.2451 energy_ev_per_cell=-55.29 pbc="T T T"
Tl 0.000 0.991 0.000
Tl 1.856 3.045 3.232
Tl 2.900 6.352 0.027
Tl 4.756 8.407 3.205
Tl 6.612 6.352 0.027
Tl 7.656 3.045 3.232
As 0.000 7.384 2.569
As 4.756 2.014 5.775
Se 0.000 0.257 3.208
Se 0.000 7.249 0.185
Se 1.986 6.320 3.285
Se 2.770 3.077 0.080
Se 4.756 2.149 3.390
Se 4.756 9.140 0.002
Se 6.742 3.077 0.080
Se 7.526 6.320 3.285

14
Lattice="-3.190 3.518 4.741 3.190 -3.518 4.741 3.190 3.518 -4.741" Properties=species:S:1:pos:R:3 comment="PmTlGaO4 (GGA-PBE, optimized geometry)" dos_ef_per_ev_fu=2.4 e_form_raw_ev_per_atom=-1.8468 energy_ev_per_cell=-85.81 pbc="T T T"
Pm 0.000 0.000 0.000
Pm 0.000 3.518 0.000
Tl -1.595 1.759 2.371
Tl 1.595 1.759 2.371
Ga 3.190 1.759 -1.251
Ga 0.000 1.759 5.992
O 3.190 -0.198 2.354
O 3.190 3.320 -2.354
O 1.607 1.759 -0.148
O 4.773 1.759 -0.148
O -1.583 1.759 4.889
O 1.583 1.759 4.889
O 0.000 0.198 7.095
O 0.000 3.715 2.387

5
Lattice="4.799 0.000 0.000 0.000 4.799 0.000 0.000 0.000 4.711" Properties=species:S:1:pos:R:3 comment="As2PPtBr (GGA-PBE, optimized geometry)" e_above_lowest_polymorph_mev_per_atom=108 dos_ef_per_ev_fu=2.3 e_form_raw_ev_per_atom=0.9599 energy_ev_per_cell=-17.62 pbc="T T T"
As 0.000 2.399 0.000
As 2.399 0.000 0.000
P 0.000 0.000 0.000
Pt 2.399 2.399 2.356
Br 0.000 0.000 2.356